# 1
A plane-wave DFT calculation with PBE-GGA was carried out for a relaxed structure of NbSbN3.

abc: 3.958 3.958 3.958
angles: 90.00 90.00 90.00
Atoms (fractional coordinates):
Nb  0.000  0.000  0.000
Sb  0.500  0.500  0.500
N  0.000  0.500  0.500
N  0.500  0.000  0.500
N  0.500  0.500  0.000

size of the total moment: 1.0 μB per formula unit
crystal system: cubic
density of states at the Fermi level: 2.63 states/eV/f.u.
formation energy from raw total energies: 1199 meV per atom


# 2
A plane-wave DFT calculation with PBE-GGA was carried out for a relaxed structure of Sm2NbSbN5.

abc: 7.082 7.082 10.681
angles: 90.00 90.00 152.65
Atoms (fractional coordinates):
Sm  0.113  0.887  0.500
Sm  0.147  0.853  0.076
Sm  0.853  0.147  0.576
Sm  0.887  0.113  0.000
Nb  0.230  0.770  0.808
Nb  0.770  0.230  0.308
Sb  0.474  0.526  0.259
Sb  0.526  0.474  0.759
N  0.057  0.943  0.859
N  0.280  0.720  0.441
N  0.313  0.687  0.176
N  0.372  0.628  0.805
N  0.491  0.509  0.577
N  0.509  0.491  0.077
N  0.628  0.372  0.305
N  0.687  0.313  0.676
N  0.720  0.280  0.941
N  0.943  0.057  0.359

size of the total moment: 0.0 μB per formula unit
crystal system: orthorhombic
density of states at the Fermi level: 1.92 states/eV/f.u.
formation energy from raw total energies: -724 meV per atom


# 3
A plane-wave DFT calculation with PBE-GGA was carried out for a relaxed structure of Tb2NbSbN5.

abc: 6.999 6.999 10.589
angles: 90.00 90.00 152.64
Atoms (fractional coordinates):
Tb  0.112  0.888  0.500
Tb  0.148  0.852  0.073
Tb  0.852  0.148  0.573
Tb  0.888  0.112  0.000
Nb  0.232  0.768  0.808
Nb  0.768  0.232  0.308
Sb  0.474  0.526  0.259
Sb  0.526  0.474  0.759
N  0.059  0.941  0.861
N  0.279  0.721  0.443
N  0.312  0.688  0.174
N  0.375  0.625  0.813
N  0.490  0.510  0.576
N  0.510  0.490  0.076
N  0.625  0.375  0.313
N  0.688  0.312  0.674
N  0.721  0.279  0.943
N  0.941  0.059  0.361

size of the total moment: 0.0 μB per formula unit
crystal system: orthorhombic
density of states at the Fermi level: 1.73 states/eV/f.u.
formation energy from raw total energies: -766 meV per atom


# 4
A plane-wave DFT calculation with PBE-GGA was carried out for a relaxed structure of NbSbTe2N.

abc: 5.410 5.410 5.436
angles: 90.00 90.00 90.00
Atoms (fractional coordinates):
Nb  0.000  0.000  0.000
Sb  0.000  0.000  0.500
Te  0.000  0.500  0.000
Te  0.500  0.000  0.000
N  0.500  0.500  0.500

size of the total moment: 2.4 μB per formula unit
crystal system: tetragonal
density of states at the Fermi level: 2.60 states/eV/f.u.
formation energy from raw total energies: 1150 meV per atom


# 5
A plane-wave DFT calculation with PBE-GGA was carried out for a relaxed structure of NbSbTe2N.

abc: 5.735 5.735 3.894
angles: 90.00 90.00 90.00
Atoms (fractional coordinates):
Nb  0.000  0.000  0.000
Sb  0.500  0.500  0.500
Te  0.000  0.500  0.500
Te  0.500  0.000  0.500
N  0.500  0.500  0.000

size of the total moment: 2.7 μB per formula unit
crystal system: tetragonal
density of states at the Fermi level: 4.77 states/eV/f.u.
formation energy from raw total energies: 1107 meV per atom


# 6
A plane-wave DFT calculation with PBE-GGA was carried out for a relaxed structure of NbSbTe2N.

abc: 5.623 5.623 3.915
angles: 90.00 90.00 90.00
Atoms (fractional coordinates):
Nb  0.000  0.000  0.000
Sb  0.500  0.500  0.500
Te  0.000  0.500  0.000
Te  0.500  0.000  0.000
N  0.000  0.000  0.500

size of the total moment: 0.0 μB per formula unit
crystal system: tetragonal
density of states at the Fermi level: 3.77 states/eV/f.u.
formation energy from raw total energies: 145 meV per atom


# 7
A plane-wave DFT calculation with PBE-GGA was carried out for a relaxed structure of NbSbTeN2.

abc: 4.160 4.160 5.767
angles: 90.00 90.00 90.00
Atoms (fractional coordinates):
Nb  0.000  0.000  0.000
Sb  0.500  0.500  0.500
Te  0.000  0.000  0.500
N  0.000  0.500  0.000
N  0.500  0.000  0.000

size of the total moment: 0.1 μB per formula unit
crystal system: tetragonal
density of states at the Fermi level: 3.48 states/eV/f.u.
formation energy from raw total energies: 522 meV per atom


# 8
A plane-wave DFT calculation with PBE-GGA was carried out for a relaxed structure of NbSbTeN2.

abc: 4.082 4.082 6.103
angles: 90.00 90.00 90.00
Atoms (fractional coordinates):
Nb  0.000  0.000  0.000
Sb  0.500  0.500  0.500
Te  0.500  0.500  0.000
N  0.000  0.500  0.500
N  0.500  0.000  0.500

size of the total moment: 1.5 μB per formula unit
crystal system: tetragonal
density of states at the Fermi level: 4.68 states/eV/f.u.
formation energy from raw total energies: 1481 meV per atom


The lowest density of states at the Fermi level belongs to which entry?
Tb2NbSbN5